! GGA-PBE FeCo2Ru, relaxed; values from VASP
! Size of the total moment (Bohr magnetons per cell): 13.59
! Symmetry: Cmm2
! Energy of formation (eV per atom): 0.224
! E (eV for the cell shown): -62.1
&SYSTEM
  ibrav = 0, nat = 8, ntyp = 3
/
ATOMIC_SPECIES
Fe 55.84 Fe.upf
Co 58.93 Co.upf
Ru 101.07 Ru.upf
ATOMIC_POSITIONS crystal
Fe 0.000 0.000 0.000
Fe 0.500 0.500 0.000
Co 0.000 0.000 0.523
Co 0.000 0.500 0.761
Co 0.500 0.000 0.761
Co 0.500 0.500 0.523
Ru 0.000 0.500 0.262
Ru 0.500 0.000 0.262
CELL_PARAMETERS angstrom
2.848 0.000 0.000
0.000 4.216 0.000
0.000 0.000 8.203

---

! GGA-PBE FeCo2Ru, relaxed; values from VASP
! Size of the total moment (Bohr magnetons per cell): 0.00
! Symmetry: I-42d
! Energy of formation (eV per atom): 1.237
! E (eV for the cell shown): -108.0
&SYSTEM
  ibrav = 0, nat = 16, ntyp = 3
/
ATOMIC_SPECIES
Fe 55.84 Fe.upf
Co 58.93 Co.upf
Ru 101.07 Ru.upf
ATOMIC_POSITIONS crystal
Fe 0.000 0.000 0.000
Fe 0.000 0.500 0.250
Fe 0.500 0.000 0.750
Fe 0.500 0.500 0.500
Co 0.228 0.250 0.125
Co 0.250 0.728 0.375
Co 0.250 0.772 0.875
Co 0.272 0.250 0.625
Co 0.728 0.750 0.625
Co 0.750 0.228 0.875
Co 0.750 0.272 0.375
Co 0.772 0.750 0.125
Ru 0.000 0.000 0.500
Ru 0.000 0.500 0.750
Ru 0.500 0.000 0.250
Ru 0.500 0.500 0.000
CELL_PARAMETERS angstrom
4.962 0.000 0.000
0.000 4.962 0.000
0.000 0.000 10.295